1.
CuRe2P | GGA-PBE | optimized geometry

a = 2.7769 Å, b = 2.7769 Å, c = 8.1648 Å
α = 90.00°, β = 90.00°, γ = 116.23°
Closest atoms and distances in Å follow each position.
Fractional coordinates of all 4 atoms:
Cu1 0.0000 0.0000 0.0000  4 Re 2.66, 6 Cu 2.78-2.93
Re1 0.5000 0.5000 0.2724  2 P 2.37
Re2 0.5000 0.5000 0.7276  2 P 2.37
P1 0.0000 0.0000 0.5000  4 Re 2.37

Results
Energy relative to the elements   43 kJ per mole of atoms
SG   No. 65

2.
PmHgCO4 | GGA-PBE | optimized geometry

a = 9.5525 Å, b = 9.5525 Å, c = 5.6899 Å
α = 104.27°, β = 104.27°, γ = 29.91°
Closest atoms and distances in Å follow each position.
Fractional coordinates of all 14 atoms:
Pm1 0.2181 0.2181 0.2111  8 O 2.32-2.57
Pm2 0.7819 0.7819 0.7889  8 O 2.32-2.57
Hg1 0.4295 0.4295 0.3869  2 O 2.36, 1 Hg 2.59
Hg2 0.5705 0.5705 0.6131  2 O 2.36, 1 Hg 2.59
C1 0.1819 0.1819 0.6738  4 O 1.35-1.45
C2 0.8182 0.8182 0.3262  4 O 1.35-1.45
O1 0.0580 0.5947 0.1844  1 C 1.43
O2 0.1337 0.1337 0.4503  1 C 1.35
O3 0.2592 0.2592 0.6608  1 C 1.45
O4 0.4053 0.9420 0.8156  1 C 1.43
O5 0.5947 0.0580 0.1844  1 C 1.43
O6 0.7408 0.7408 0.3392  1 C 1.45
O7 0.8663 0.8663 0.5497  1 C 1.35
O8 0.9420 0.4053 0.8156  1 C 1.43

Results
SG   No. 12

These records have uncorrected energy values of -32.63; -93.73 eV per cell, in the order they appear.
These records have M_tot values of 0.0; 0.0 μB per cell, in the order they appear.